Y2InNi | Alexandria | PBE | relaxed; DFT formation energy = -9.5 kJ per mole of atoms
1.0
-7.035 1.612 -4.547
-7.383 -2.140 -3.698
-8.440 0.530 -1.115
In Ni Y
1 1 2
direct
0.476 0.476 0.476 In
0.759 0.759 0.759 Ni
0.028 0.028 0.028 Y
0.237 0.237 0.237 Y

=====

YIn2Ni9 | Alexandria | PBE | relaxed; DFT formation energy = -21.1 kJ per mole of atoms; E above lowest polymorph = 0 meV/atom
1.0
-0.609 -4.507 -6.882
6.927 3.442 -2.868
2.607 -3.519 2.074
In Ni Y
4 18 2
direct
0.125 0.625 0.000 In
0.875 0.375 0.000 In
0.375 0.125 0.000 In
0.625 0.875 0.000 In
0.000 0.500 0.500 Ni
0.500 0.000 0.500 Ni
0.206 0.064 0.500 Ni
0.794 0.936 0.500 Ni
0.936 0.206 0.500 Ni
0.064 0.794 0.500 Ni
0.294 0.564 0.500 Ni
0.706 0.436 0.500 Ni
0.564 0.706 0.500 Ni
0.436 0.294 0.500 Ni
0.324 0.824 0.249 Ni
0.676 0.176 0.249 Ni
0.176 0.324 0.249 Ni
0.824 0.676 0.249 Ni
0.176 0.324 0.751 Ni
0.824 0.676 0.751 Ni
0.324 0.824 0.751 Ni
0.676 0.176 0.751 Ni
0.000 0.000 0.000 Y
0.500 0.500 0.000 Y

=====

Y4In3Ni | Alexandria | PBE | relaxed; DFT formation energy = -44.7 kJ per mole of atoms
1.0
-0.583 -3.200 1.349
2.228 -1.394 -2.343
12.169 2.127 10.310
Y Ni In
4 1 3
direct
0.000 0.000 0.899 Y
0.000 0.000 0.101 Y
0.000 0.000 0.367 Y
0.000 0.000 0.633 Y
0.500 0.500 0.000 Ni
0.500 0.500 0.235 In
0.500 0.500 0.500 In
0.500 0.500 0.765 In

=====

no.,total magnetic moment (μB per formula unit)
1,0.24
2,1.56
3,0.00